Material: Pm2Tm3Sc2
Method: DFT, PBE-GGA
State: optimized geometry

- Energy relative to the lowest polymorph listed for this composition: 183.4 meV/atom
- Energy of formation from the pure elements: 0.216 eV per atom
- Total moment: 0.00 μB/cell

abc: 6.2976 10.3357 6.4453
angles: 90.00 91.35 90.00
Closest atoms and distances in Å follow each position.
Fractional coordinates of all 14 atoms:
Pm: 0.1436 0.2432 0.2488  2 Tm 3.10-3.25, 2 Sc 3.18-3.30, 2 Pm 3.23
Pm: 0.1436 0.2568 0.7488  2 Tm 3.10-3.25, 2 Sc 3.18-3.30, 2 Pm 3.23
Pm: 0.8564 0.7432 0.2512  2 Tm 3.10-3.25, 2 Sc 3.18-3.30, 2 Pm 3.23
Pm: 0.8564 0.7568 0.7512  2 Tm 3.10-3.25, 2 Sc 3.18-3.30, 2 Pm 3.23
Tm: 0.0000 0.0000 0.0000  4 Pm 3.10-3.25, 2 Sc 3.18
Tm: 0.0000 0.5000 0.5000  4 Pm 3.10-3.25, 2 Sc 3.18
Tm: 0.2545 0.5592 0.0172  3 Sc 3.29-3.57, 3 Tm 3.34-3.59, 4 Pm 3.51-3.67
Tm: 0.2545 0.9408 0.5172  3 Sc 3.29-3.57, 3 Tm 3.34-3.59, 4 Pm 3.51-3.67
Tm: 0.7455 0.0592 0.4828  3 Sc 3.29-3.57, 3 Tm 3.34-3.59, 4 Pm 3.51-3.67
Tm: 0.7455 0.4408 0.9828  3 Sc 3.29-3.57, 3 Tm 3.34-3.59, 4 Pm 3.51-3.67
Sc: 0.4454 0.6448 0.5179  1 Sc 3.08, 2 Tm 3.18-3.29, 2 Pm 3.18-3.30
Sc: 0.4454 0.8552 0.0179  1 Sc 3.08, 2 Tm 3.18-3.29, 2 Pm 3.18-3.30
Sc: 0.5546 0.1448 0.9821  1 Sc 3.08, 2 Tm 3.18-3.29, 2 Pm 3.18-3.30
Sc: 0.5546 0.3552 0.4821  1 Sc 3.08, 2 Tm 3.18-3.29, 2 Pm 3.18-3.30

***

Material: Pm7Tm3Sc2
Method: DFT, PBE-GGA
State: optimized geometry

- Energy of formation from the pure elements: 0.037 eV per atom
- Total moment: 0.00 μB/cell

abc: 6.0900 6.0900 11.2882
angles: 100.69 100.69 108.02
Closest atoms and distances in Å follow each position.
Fractional coordinates of all 12 atoms:
Pm: 0.0000 0.0000 0.0000  8 Pm 3.55, 4 Tm 3.58-3.62
Pm: 0.0853 0.5854 0.1707  2 Sc 3.51, 6 Pm 3.53-3.66, 4 Tm 3.53-3.55
Pm: 0.2500 0.7500 0.5000  4 Tm 3.51, 4 Sc 3.52-3.53, 4 Pm 3.53-3.58
Pm: 0.4146 0.9148 0.8293  2 Sc 3.51, 6 Pm 3.53-3.66, 4 Tm 3.53-3.55
Pm: 0.5854 0.0853 0.1707  2 Sc 3.51, 6 Pm 3.53-3.66, 4 Tm 3.53-3.55
Pm: 0.7500 0.2500 0.5000  4 Tm 3.51, 4 Sc 3.52-3.53, 4 Pm 3.53-3.58
Pm: 0.9148 0.4146 0.8293  2 Sc 3.51, 6 Pm 3.53-3.66, 4 Tm 3.53-3.55
Tm: 0.1688 0.1688 0.3376  9 Pm 3.51-3.62, 3 Sc 3.52-3.58
Tm: 0.5000 0.5000 0.0000  10 Pm 3.55-3.58, 2 Sc 3.58
Tm: 0.8312 0.8312 0.6624  9 Pm 3.51-3.62, 3 Sc 3.52-3.58
Sc: 0.3328 0.3328 0.6658  8 Pm 3.51-3.53, 4 Tm 3.52-3.58
Sc: 0.6672 0.6672 0.3342  8 Pm 3.51-3.53, 4 Tm 3.52-3.58

***

Material: PmTmSc5
Method: DFT, PBE-GGA
State: optimized geometry

- Energy of formation from the pure elements: 0.364 eV per atom
- Total moment: 0.00 μB/cell

abc: 5.1081 5.1081 7.6184
angles: 90.00 90.00 90.00
Closest atoms and distances in Å follow each position.
Fractional coordinates of all 7 atoms:
Pm: 0.0000 0.0000 0.0000  12 Sc 3.31-3.61
Tm: 0.5000 0.5000 0.5000  8 Sc 3.07
Sc: 0.0000 0.5000 0.2760  2 Tm 3.07, 2 Pm 3.31, 3 Sc 3.31-3.41
Sc: 0.0000 0.5000 0.7240  2 Tm 3.07, 3 Sc 3.31-3.41, 2 Pm 3.31
Sc: 0.5000 0.0000 0.2760  2 Tm 3.07, 2 Pm 3.31, 3 Sc 3.31-3.41
Sc: 0.5000 0.0000 0.7240  2 Tm 3.07, 3 Sc 3.31-3.41, 2 Pm 3.31
Sc: 0.5000 0.5000 0.0000  8 Sc 3.31, 4 Pm 3.61

***

Repeat the second record exactly.
Material: Pm7Tm3Sc2
Method: DFT, PBE-GGA
State: optimized geometry

- Energy of formation from the pure elements: 0.037 eV per atom
- Total moment: 0.00 μB/cell

abc: 6.0900 6.0900 11.2882
angles: 100.69 100.69 108.02
Closest atoms and distances in Å follow each position.
Fractional coordinates of all 12 atoms:
Pm: 0.0000 0.0000 0.0000  8 Pm 3.55, 4 Tm 3.58-3.62
Pm: 0.0853 0.5854 0.1707  2 Sc 3.51, 6 Pm 3.53-3.66, 4 Tm 3.53-3.55
Pm: 0.2500 0.7500 0.5000  4 Tm 3.51, 4 Sc 3.52-3.53, 4 Pm 3.53-3.58
Pm: 0.4146 0.9148 0.8293  2 Sc 3.51, 6 Pm 3.53-3.66, 4 Tm 3.53-3.55
Pm: 0.5854 0.0853 0.1707  2 Sc 3.51, 6 Pm 3.53-3.66, 4 Tm 3.53-3.55
Pm: 0.7500 0.2500 0.5000  4 Tm 3.51, 4 Sc 3.52-3.53, 4 Pm 3.53-3.58
Pm: 0.9148 0.4146 0.8293  2 Sc 3.51, 6 Pm 3.53-3.66, 4 Tm 3.53-3.55
Tm: 0.1688 0.1688 0.3376  9 Pm 3.51-3.62, 3 Sc 3.52-3.58
Tm: 0.5000 0.5000 0.0000  10 Pm 3.55-3.58, 2 Sc 3.58
Tm: 0.8312 0.8312 0.6624  9 Pm 3.51-3.62, 3 Sc 3.52-3.58
Sc: 0.3328 0.3328 0.6658  8 Pm 3.51-3.53, 4 Tm 3.52-3.58
Sc: 0.6672 0.6672 0.3342  8 Pm 3.51-3.53, 4 Tm 3.52-3.58

***

- Which of these has the lowest energy of formation from the pure elements?
  Pm7Tm3Sc2

***

- Look up the energy of formation from the pure elements of the second one.
  0.037 eV per atom

***

- What is the energy of formation from the pure elements in the first record?
  0.216 eV per atom